(1)
Below is AcHgBiSb after structural relaxation, with properties calculated at the PBE level.

Calculated values
Density (Mg/m³): 10.0
Offset from the most stable computed form (meV/atom): 131
Raw formation energy (eV/atom): -0.433
Magnetization (μB per formula unit): 0.00
Electronic total energy (eV per atom): -3.536

Cell and atoms, written as CIF:
```
data_AcHgBiSb
_cell_length_a 7.948
_cell_length_b 7.948
_cell_length_c 7.948
_cell_angle_alpha 90.00
_cell_angle_beta 90.00
_cell_angle_gamma 90.00
_symmetry_space_group_name_H-M 'F -4 3 m'
_symmetry_Int_Tables_number 216
_symmetry_space_group_name_Hall 'F -4 2 3'
loop_
_atom_site_label
_atom_site_type_symbol
_atom_site_fract_x
_atom_site_fract_y
_atom_site_fract_z
Ac1 Ac 0.000 0.000 0.000
Hg1 Hg 0.250 0.250 0.750
Bi1 Bi 0.000 0.000 0.500
Sb1 Sb 0.250 0.250 0.250
```

***

(2)
Below is TlGaHgSe after structural relaxation, with properties calculated at the PBE level.

Calculated values
Density (Mg/m³): 8.4
Raw formation energy (eV/atom): -0.088
Magnetization (μB per formula unit): 0.00
Electronic total energy (eV per atom): -2.382

Cell and atoms, written as CIF:
```
data_TlGaHgSe
_cell_length_a 7.580
_cell_length_b 7.580
_cell_length_c 7.580
_cell_angle_alpha 90.00
_cell_angle_beta 90.00
_cell_angle_gamma 90.00
_symmetry_space_group_name_H-M 'F -4 3 m'
_symmetry_Int_Tables_number 216
_symmetry_space_group_name_Hall 'F -4 2 3'
loop_
_atom_site_label
_atom_site_type_symbol
_atom_site_fract_x
_atom_site_fract_y
_atom_site_fract_z
Tl1 Tl 0.000 0.000 0.000
Ga1 Ga 0.000 0.000 0.500
Hg1 Hg 0.250 0.250 0.750
Se1 Se 0.250 0.250 0.250
```

***

Which value of density does entry 1 give? 10.0 Mg/m³